Density functional theory data (PBE) for an optimized crystal structure of Zn2GaSiPt.

Lattice parameters (Å, degrees): 4.569 4.569 4.695 90.00 90.00 90.00
Fractional positions:
Zn 0.000 0.500 0.000
Zn 0.500 0.000 0.000
Ga 0.000 0.000 0.000
Si 0.000 0.000 0.500
Pt 0.500 0.500 0.500

Properties
space group	No. 123
energy	-13.36	eV for the cell shown
E_form (uncorrected)	0.736	eV per atom